1.
Computed, not measured: crystalline Er2C3 at its relaxed geometry at the PBE level of DFT.

Values from the calculation:
DFT total energy = -7.632 eV/atom

```
Er2C3
1.0
-4.062 4.062 4.062
4.062 -4.062 4.062
4.062 4.062 -4.062
Er C
8 12
direct
0.000 0.400 0.500
0.000 0.900 0.500
0.100 0.100 0.100
0.400 0.500 0.000
0.500 0.000 0.400
0.500 0.000 0.900
0.600 0.600 0.600
0.900 0.500 0.000
0.042 0.750 0.792
0.208 0.750 0.958
0.250 0.542 0.292
0.250 0.708 0.458
0.292 0.250 0.542
0.458 0.250 0.708
0.542 0.292 0.250
0.708 0.458 0.250
0.750 0.792 0.042
0.750 0.958 0.208
0.792 0.042 0.750
0.958 0.208 0.750
```



2.
Computed, not measured: crystalline Er2HCF at its relaxed geometry at the PBE level of DFT.

Values from the calculation:
DFT total energy = -6.210 eV/atom

```
Er2HCF
1.0
3.594 0.000 0.000
-1.797 3.113 0.000
0.000 0.000 6.128
Er H C F
2 1 1 1
direct
0.000 0.000 0.000
0.333 0.667 0.566
0.333 0.667 0.155
0.667 0.333 0.781
0.000 0.000 0.383
```



3.
Computed, not measured: crystalline NdErCF2 at its relaxed geometry at the PBE level of DFT.

Values from the calculation:
DFT total energy = -6.802 eV/atom

```
NdErCF2
1.0
3.699 0.000 0.000
-1.849 3.203 0.000
0.000 0.000 6.422
Nd Er C F
1 1 1 2
direct
0.000 0.000 0.000
0.333 0.667 0.571
0.667 0.333 0.782
0.000 0.000 0.420
0.333 0.667 0.197
```



4.
Computed, not measured: crystalline Pr2Er2CF5 at its relaxed geometry at the PBE level of DFT.

Values from the calculation:
DFT total energy = -6.361 eV/atom

```
Pr2Er2CF5
1.0
7.447 -1.779 0.000
7.447 1.779 0.000
-2.472 0.000 6.843
Pr Er C F
2 2 1 5
direct
0.003 0.003 0.245
0.997 0.997 0.755
0.335 0.335 0.883
0.665 0.665 0.117
0.500 0.500 0.000
0.181 0.181 0.917
0.188 0.188 0.317
0.500 0.500 0.500
0.812 0.812 0.683
0.819 0.819 0.083
```



5.
Computed, not measured: crystalline Sm2Er2CF5 at its relaxed geometry at the PBE level of DFT.

Values from the calculation:
DFT total energy = -6.359 eV/atom

```
Sm2Er2CF5
1.0
7.413 -1.752 0.000
7.413 1.752 0.000
-2.314 0.000 6.674
Sm Er C F
2 2 1 5
direct
0.001 0.001 0.260
0.999 0.999 0.740
0.336 0.336 0.377
0.664 0.664 0.623
0.500 0.500 0.500
0.180 0.180 0.413
0.181 0.181 0.830
0.500 0.500 0.000
0.819 0.819 0.170
0.820 0.820 0.587
```



6.
Computed, not measured: crystalline TbErCF2 at its relaxed geometry at the PBE level of DFT.

Values from the calculation:
DFT total energy = -6.856 eV/atom

```
TbErCF2
1.0
3.618 0.000 0.000
-1.809 3.133 0.000
0.000 0.000 6.314
Tb Er C F
1 1 1 2
direct
0.000 0.000 0.000
0.333 0.667 0.575
0.667 0.333 0.786
0.000 0.000 0.409
0.333 0.667 0.181
```



7.
Computed, not measured: crystalline YErCF2 at its relaxed geometry at the PBE level of DFT.

Values from the calculation:
DFT total energy = -7.227 eV/atom

```
YErCF2
1.0
3.609 0.000 0.000
-1.804 3.125 0.000
0.000 0.000 6.311
Y Er C F
1 1 1 2
direct
0.000 0.000 0.000
0.333 0.667 0.577
0.667 0.333 0.787
0.000 0.000 0.410
0.333 0.667 0.180
```



8.
Computed, not measured: crystalline Er2Fe5C4 at its relaxed geometry at the PBE level of DFT.

Values from the calculation:
DFT total energy = -8.165 eV/atom

```
Er2Fe5C4
1.0
0.000 4.589 5.129
2.473 0.000 5.129
2.473 4.589 0.000
Er Fe C
2 5 4
direct
0.147 0.147 0.853
0.853 0.853 0.147
0.000 0.000 0.500
0.250 0.250 0.250
0.500 0.500 0.000
0.500 0.500 0.500
0.750 0.750 0.750
0.209 0.528 0.472
0.472 0.791 0.209
0.528 0.209 0.791
0.791 0.472 0.528
```